[1]
DFT (GGA-PBEsol) results for crystalline MgHgAs3 at its relaxed geometry.

The structure in POSCAR format:
```
MgHgAs3
1.0
4.924 0.000 0.000
0.000 4.924 0.000
0.000 0.000 4.924
Mg Hg As
1 1 3
Cartesian
0.000 0.000 0.000 Mg
2.462 2.462 2.462 Hg
0.000 0.000 2.462 As
0.000 2.462 0.000 As
2.462 0.000 0.000 As
```

DFT formation energy ... 3.53 eV/f.u.
Total magnetization ... 0.0 μB per cell
Total energy ... -2.81 eV per atom
Space-group type ... Pm-3m, No. 221

---

[2]
DFT (GGA-PBEsol) results for crystalline KYBeO2 at its relaxed geometry.

The structure in POSCAR format:
```
KYBeO2
1.0
3.915 0.000 0.000
0.000 3.915 0.000
0.000 0.000 4.323
K Y Be O
1 1 1 2
Cartesian
0.000 0.000 0.000 K
1.957 1.957 0.000 Y
1.957 1.957 2.161 Be
0.000 1.957 2.161 O
1.957 0.000 2.161 O
```

ΔE_f (raw) ... -0.0975 eV per atom
Total magnetization ... 0.0 μB per cell
Total energy ... -4.59 eV per atom
Space-group type ... P4/mmm, No. 123

---

[3]
DFT (GGA-PBEsol) results for crystalline EuAlO3 at its relaxed geometry.

The structure in POSCAR format:
```
EuAlO3
1.0
5.264 0.000 0.000
0.000 7.467 0.000
0.000 0.000 5.271
Eu Al O
4 4 12
Cartesian
0.104 1.867 0.010 Eu
2.528 5.600 2.646 Eu
2.736 1.867 2.625 Eu
5.160 5.600 5.260 Eu
0.000 0.000 2.635 Al
0.000 3.733 2.635 Al
2.632 0.000 0.000 Al
2.632 3.733 0.000 Al
0.036 5.600 2.371 O
1.148 3.926 4.119 O
1.148 7.275 4.119 O
1.484 0.192 1.483 O
1.484 3.541 1.483 O
2.596 1.867 5.006 O
2.668 5.600 0.265 O
3.780 3.926 3.787 O
3.780 7.275 3.787 O
4.116 0.192 1.152 O
4.116 3.541 1.152 O
5.228 1.867 2.900 O
```

ΔE_f (raw) ... -3.0390 eV per atom
Total magnetization ... 24.0 μB per cell
Total energy ... -9.12 eV per atom
Space-group type ... Pnma, No. 62

---

[4]
DFT (GGA-PBEsol) results for crystalline Zr4Al at its relaxed geometry.

The structure in POSCAR format:
```
Zr4Al
1.0
-3.504 3.504 2.115
3.504 -3.504 2.115
3.504 3.504 -2.115
Zr Al
4 1
Cartesian
4.922 0.759 0.000 Zr
0.759 2.086 0.000 Zr
2.745 1.418 2.115 Zr
-1.418 2.745 2.115 Zr
0.000 0.000 2.115 Al
```

DFT formation energy ... -0.88 eV/f.u.
Total magnetization ... 0.0 μB per cell
Total energy ... -8.27 eV per atom
Space-group type ... I4/m, No. 87

---

[5]
DFT (GGA-PBEsol) results for crystalline Fe2Rh3 at its relaxed geometry.

The structure in POSCAR format:
```
Fe2Rh3
1.0
-1.320 1.320 8.971
1.320 -1.320 8.971
1.320 1.320 -8.971
Fe Rh
2 3
Cartesian
0.000 0.000 1.772 Fe
0.000 0.000 16.171 Fe
0.000 0.000 5.456 Rh
0.000 0.000 8.971 Rh
0.000 0.000 12.487 Rh
```

Energy relative to the lowest polymorph listed for this composition ... 0.000 eV per atom
DFT formation energy ... 0.10 eV/f.u.
Total magnetization ... 4.5 μB per cell
Total energy ... -8.45 eV per atom
Space-group type ... I4/mmm, No. 139

---

[6]
DFT (GGA-PBEsol) results for crystalline AlCuCl at its relaxed geometry.

The structure in POSCAR format:
```
AlCuCl
1.0
0.000 3.095 3.095
3.095 0.000 3.095
3.095 3.095 0.000
Al Cu Cl
1 1 1
Cartesian
0.000 0.000 0.000 Al
4.643 4.643 4.643 Cu
3.095 3.095 3.095 Cl
```

Energy relative to the lowest polymorph listed for this composition ... 0.406 eV per atom
ΔE_f (raw) ... 0.3216 eV per atom
Total magnetization ... 0.0 μB per cell
Total energy ... -3.16 eV per atom
Space-group type ... F-43m, No. 216

---

[7]
DFT (GGA-PBEsol) results for crystalline CaEuCd2 at its relaxed geometry.

The structure in POSCAR format:
```
CaEuCd2
1.0
0.000 3.794 3.794
3.794 0.000 3.794
3.794 3.794 0.000
Ca Eu Cd
1 1 2
Cartesian
0.000 0.000 0.000 Ca
3.794 3.794 3.794 Eu
1.897 1.897 1.897 Cd
5.691 5.691 5.691 Cd
```

DFT formation energy ... -1.45 eV/f.u.
Total magnetization ... 7.1 μB per cell
Total energy ... -4.14 eV per atom
Space-group type ... Fm-3m, No. 225

---

[8]
DFT (GGA-PBEsol) results for crystalline K2TiF6 at its relaxed geometry.

The structure in POSCAR format:
```
K2TiF6
1.0
5.693 0.000 0.000
-2.847 4.931 0.000
0.000 0.000 4.620
K Ti F
2 1 6
Cartesian
0.000 3.287 1.393 K
2.847 1.644 3.227 K
0.000 0.000 0.000 Ti
0.000 1.558 3.572 F
-1.498 4.152 3.572 F
1.349 0.779 1.048 F
1.498 4.152 3.572 F
4.344 0.779 1.048 F
2.847 3.373 1.048 F
```

ΔE_f (raw) ... -3.2724 eV per atom
Total magnetization ... 0.0 μB per cell
Total energy ... -5.73 eV per atom
Space-group type ... P-3m1, No. 164

---

[9]
DFT (GGA-PBEsol) results for crystalline Sc2SiSe at its relaxed geometry.

The structure in POSCAR format:
```
Sc2SiSe
1.0
3.342 -3.555 0.000
3.342 3.555 0.000
-0.847 0.000 3.171
Sc Si Se
2 1 1
Cartesian
1.671 1.777 0.000 Sc
1.671 -1.777 0.000 Sc
-0.424 0.000 1.585 Si
2.918 0.000 1.585 Se
```

Energy relative to the lowest polymorph listed for this composition ... 0.296 eV per atom
ΔE_f (raw) ... -0.9206 eV per atom
Total magnetization ... 0.0 μB per cell
Total energy ... -6.62 eV per atom
Space-group type ... C2/m, No. 12

---

[10]
DFT (GGA-PBEsol) results for crystalline Zn3Ag at its relaxed geometry.

The structure in POSCAR format:
```
Zn3Ag
1.0
4.735 0.000 0.000
0.000 8.747 0.000
0.000 0.000 5.623
Zn Ag
12 4
Cartesian
0.429 2.187 0.709 Zn
1.132 8.745 4.905 Zn
1.132 4.376 4.905 Zn
1.235 0.002 2.093 Zn
1.235 4.371 2.093 Zn
1.938 6.561 3.521 Zn
2.797 2.187 2.102 Zn
3.500 8.745 3.530 Zn
3.500 4.376 3.530 Zn
3.603 0.002 0.718 Zn
3.603 4.371 0.718 Zn
4.306 6.561 4.914 Zn
0.428 2.187 3.454 Ag
1.940 6.561 0.643 Ag
2.795 2.187 4.980 Ag
4.307 6.561 2.169 Ag
```

DFT formation energy ... -0.14 eV/f.u.
Total magnetization ... 0.0 μB per cell
Total energy ... -2.05 eV per atom
Space-group type ... Pnma, No. 62

---

[11]
DFT (GGA-PBEsol) results for crystalline Zn2InMo at its relaxed geometry.

The structure in POSCAR format:
```
Zn2InMo
1.0
2.835 -4.680 0.000
2.835 4.680 0.000
-1.350 0.000 2.456
Zn In Mo
2 1 1
Cartesian
1.418 2.340 0.000 Zn
1.418 -2.340 0.000 Zn
-0.675 0.000 1.228 In
2.161 0.000 1.228 Mo
```

DFT formation energy ... 0.91 eV/f.u.
Total magnetization ... 0.0 μB per cell
Total energy ... -4.25 eV per atom
Space-group type ... C2/m, No. 12

---

[12]
DFT (GGA-PBEsol) results for crystalline CuNiBi3 at its relaxed geometry.

The structure in POSCAR format:
```
CuNiBi3
1.0
5.083 0.000 0.000
0.000 5.083 0.000
0.000 0.000 5.083
Cu Ni Bi
1 1 3
Cartesian
0.000 0.000 0.000 Cu
2.541 2.541 2.541 Ni
0.000 0.000 2.541 Bi
0.000 2.541 0.000 Bi
2.541 0.000 0.000 Bi
```

DFT formation energy ... 4.22 eV/f.u.
Total magnetization ... 0.0 μB per cell
Total energy ... -3.82 eV per atom
Space-group type ... Pm-3m, No. 221

---

[13]
DFT (GGA-PBEsol) results for crystalline TlHg2Ir at its relaxed geometry.

The structure in POSCAR format:
```
TlHg2Ir
1.0
-1.480 2.304 6.519
1.480 -2.304 6.519
1.480 2.304 -6.519
Tl Hg Ir
1 2 1
Cartesian
0.000 0.000 0.000 Tl
0.000 0.000 4.806 Hg
0.000 2.304 2.476 Hg
1.480 0.000 2.415 Ir
```

Energy relative to the lowest polymorph listed for this composition ... 0.000 eV per atom
DFT formation energy ... 1.05 eV/f.u.
Total magnetization ... 0.0 μB per cell
Total energy ... -3.13 eV per atom
Space-group type ... Imm2, No. 44

---

[14]
DFT (GGA-PBEsol) results for crystalline MgTl at its relaxed geometry.

The structure in POSCAR format:
```
MgTl
1.0
5.576 -1.732 0.000
5.576 1.732 0.000
-2.667 0.000 7.526
Mg Tl
3 3
Cartesian
0.000 0.000 0.000 Mg
-0.869 0.000 4.446 Mg
6.965 0.000 2.523 Mg
2.113 0.000 5.030 Tl
3.959 0.000 2.003 Tl
5.411 0.000 7.012 Tl
```

DFT formation energy ... -0.11 eV/f.u.
Total magnetization ... 0.0 μB per cell
Total energy ... -2.23 eV per atom
Space-group type ... Cm, No. 8

---

[15]
DFT (GGA-PBEsol) results for crystalline Li2Ge2Au at its relaxed geometry.

The structure in POSCAR format:
```
Li2Ge2Au
1.0
6.399 0.000 0.000
0.000 6.399 0.000
0.000 0.000 4.169
Li Ge Au
4 4 2
Cartesian
1.057 2.142 0.000 Li
2.142 5.342 0.000 Li
4.257 1.057 0.000 Li
5.342 4.257 0.000 Li
0.852 4.052 2.084 Ge
2.348 0.852 2.084 Ge
4.052 5.547 2.084 Ge
5.547 2.348 2.084 Ge
0.000 0.000 2.084 Au
3.200 3.200 2.084 Au
```

DFT formation energy ... -1.81 eV/f.u.
Total magnetization ... 0.0 μB per cell
Total energy ... -3.91 eV per atom
Space-group type ... P4/mbm, No. 127

---

[16]
DFT (GGA-PBEsol) results for crystalline TiCuSe3 at its relaxed geometry.

The structure in POSCAR format:
```
TiCuSe3
1.0
4.851 0.000 0.000
0.000 4.851 0.000
0.000 0.000 4.851
Ti Cu Se
1 1 3
Cartesian
0.000 0.000 0.000 Ti
2.426 2.426 2.426 Cu
0.000 0.000 2.426 Se
0.000 2.426 0.000 Se
2.426 0.000 0.000 Se
```

ΔE_f (raw) ... 0.0528 eV per atom
Total magnetization ... 0.0 μB per cell
Total energy ... -4.79 eV per atom
Space-group type ... Pm-3m, No. 221

---

[17]
DFT (GGA-PBEsol) results for crystalline Sc2BeMo at its relaxed geometry.

The structure in POSCAR format:
```
Sc2BeMo
1.0
-1.987 1.987 4.174
1.987 -1.987 4.174
1.987 1.987 -4.174
Sc Be Mo
2 1 1
Cartesian
0.000 0.000 0.000 Sc
0.000 1.987 2.087 Sc
0.000 0.000 4.174 Be
1.987 0.000 2.087 Mo
```

DFT formation energy ... 0.71 eV/f.u.
Total magnetization ... 0.0 μB per cell
Total energy ... -7.07 eV per atom
Space-group type ... I-4m2, No. 119

---

[18]
DFT (GGA-PBEsol) results for crystalline Co2TcW at its relaxed geometry.

The structure in POSCAR format:
```
Co2TcW
1.0
3.664 0.000 0.000
0.000 3.664 0.000
0.000 0.000 3.658
Co Tc W
2 1 1
Cartesian
0.000 1.832 0.000 Co
1.832 0.000 0.000 Co
0.000 0.000 1.829 Tc
1.832 1.832 1.829 W
```

Energy relative to the lowest polymorph listed for this composition ... 0.030 eV per atom
DFT formation energy ... -0.11 eV/f.u.
Total magnetization ... 0.0 μB per cell
Total energy ... -10.17 eV per atom
Space-group type ... P4/mmm, No. 123

---

[19]
DFT (GGA-PBEsol) results for crystalline Zn3RuS at its relaxed geometry.

The structure in POSCAR format:
```
Zn3RuS
1.0
4.679 0.000 0.000
0.000 4.679 0.000
0.000 0.000 4.679
Zn Ru S
3 1 1
Cartesian
0.000 0.000 2.339 Zn
0.000 2.339 0.000 Zn
2.339 0.000 0.000 Zn
0.000 0.000 0.000 Ru
2.339 2.339 2.339 S
```

ΔE_f (raw) ... 0.9264 eV per atom
Total magnetization ... 0.9 μB per cell
Total energy ... -2.93 eV per atom
Space-group type ... Pm-3m, No. 221

---

[20]
DFT (GGA-PBEsol) results for crystalline SrTl2Cl at its relaxed geometry.

The structure in POSCAR format:
```
SrTl2Cl
1.0
3.834 0.000 0.000
0.000 3.834 0.000
-0.026 0.000 8.001
Sr Tl Cl
1 2 1
Cartesian
0.000 0.000 0.000 Sr
0.005 0.000 4.088 Tl
1.919 1.917 2.391 Tl
1.891 1.917 6.816 Cl
```

Energy relative to the lowest polymorph listed for this composition ... 0.000 eV per atom
ΔE_f (raw) ... -0.8435 eV per atom
Total magnetization ... 0.0 μB per cell
Total energy ... -3.12 eV per atom
Space-group type ... Pm, No. 6

---

[21]
DFT (GGA-PBEsol) results for crystalline GaNi3 at its relaxed geometry.

The structure in POSCAR format:
```
GaNi3
1.0
5.011 0.000 0.000
-2.506 4.340 0.000
0.000 0.000 4.032
Ga Ni
2 6
Cartesian
0.000 2.893 1.008 Ga
2.506 1.447 3.024 Ga
0.000 1.426 3.024 Ni
-1.270 3.627 3.024 Ni
1.235 0.713 1.008 Ni
1.270 3.627 3.024 Ni
3.776 0.713 1.008 Ni
2.506 2.914 1.008 Ni
```

DFT formation energy ... -1.27 eV/f.u.
Total magnetization ... 1.1 μB per cell
Total energy ... -5.77 eV per atom
Space-group type ... P6_3/mmc, No. 194

---

[22]
DFT (GGA-PBEsol) results for crystalline AgRuRh2 at its relaxed geometry.

The structure in POSCAR format:
```
AgRuRh2
1.0
3.866 0.000 0.000
0.000 3.866 0.000
0.000 0.000 3.784
Ag Ru Rh
1 1 2
Cartesian
0.000 0.000 0.000 Ag
1.933 1.933 0.000 Ru
0.000 1.933 1.892 Rh
1.933 0.000 1.892 Rh
```

Energy relative to the lowest polymorph listed for this composition ... 0.296 eV per atom
DFT formation energy ... 1.67 eV/f.u.
Total magnetization ... 0.9 μB per cell
Total energy ... -7.02 eV per atom
Space-group type ... P4/mmm, No. 123

---

[23]
DFT (GGA-PBEsol) results for crystalline Mg2SiMo at its relaxed geometry.

The structure in POSCAR format:
```
Mg2SiMo
1.0
3.593 0.000 0.000
0.000 3.593 0.000
0.000 0.000 5.249
Mg Si Mo
2 1 1
Cartesian
0.000 0.000 1.282 Mg
0.000 0.000 3.966 Mg
1.796 1.796 2.624 Si
1.796 1.796 0.000 Mo
```

ΔE_f (raw) ... 0.3538 eV per atom
Total magnetization ... 0.0 μB per cell
Total energy ... -4.88 eV per atom
Space-group type ... P4/mmm, No. 123

---

[24]
DFT (GGA-PBEsol) results for crystalline HgPb2Au at its relaxed geometry.

The structure in POSCAR format:
```
HgPb2Au
1.0
-1.825 2.535 5.318
1.825 -2.535 5.318
1.825 2.535 -5.318
Hg Pb Au
1 2 1
Cartesian
0.000 0.000 0.000 Hg
1.825 0.000 2.975 Pb
0.000 0.000 5.967 Pb
0.000 2.535 3.031 Au
```

Energy relative to the lowest polymorph listed for this composition ... 0.030 eV per atom
DFT formation energy ... 0.08 eV/f.u.
Total magnetization ... 0.0 μB per cell
Total energy ... -3.10 eV per atom
Space-group type ... Imm2, No. 44

---

[25]
DFT (GGA-PBEsol) results for crystalline CrBr3 at its relaxed geometry.

The structure in POSCAR format:
```
CrBr3
1.0
3.244 0.000 0.000
0.000 3.501 0.000
0.000 0.000 9.263
Cr Br
1 3
Cartesian
0.000 0.000 0.000 Cr
0.000 1.750 4.580 Br
1.622 0.000 1.786 Br
1.622 1.750 7.960 Br
```

ΔE_f (raw) ... -0.1326 eV per atom
Total magnetization ... 3.6 μB per cell
Total energy ... -4.10 eV per atom
Space-group type ... Pmm2, No. 25

---

[26]
DFT (GGA-PBEsol) results for crystalline BeBPO2 at its relaxed geometry.

The structure in POSCAR format:
```
BeBPO2
1.0
3.044 0.000 0.000
0.000 3.044 0.000
0.000 0.000 6.443
Be B P O
1 1 1 2
Cartesian
0.000 0.000 0.000 Be
1.522 1.522 3.221 B
0.000 0.000 3.221 P
0.000 1.522 0.000 O
1.522 0.000 0.000 O
```

ΔE_f (raw) ... 0.0255 eV per atom
Total magnetization ... 0.0 μB per cell
Total energy ... -5.44 eV per atom
Space-group type ... P4/mmm, No. 123

---

[27]
DFT (GGA-PBEsol) results for crystalline RbTaCdOs2 at its relaxed geometry.

The structure in POSCAR format:
```
RbTaCdOs2
1.0
4.986 0.000 0.000
0.000 4.986 0.000
0.000 0.000 5.041
Rb Ta Cd Os
1 1 1 2
Cartesian
0.000 0.000 0.000 Rb
2.493 2.493 0.000 Ta
2.493 2.493 2.521 Cd
0.000 2.493 2.521 Os
2.493 0.000 2.521 Os
```

DFT formation energy ... 14.16 eV/f.u.
Total magnetization ... 0.1 μB per cell
Total energy ... -5.01 eV per atom
Space-group type ... P4/mmm, No. 123